(1)
A plane-wave DFT calculation with PBE was carried out for crystalline DyCd3Ag3 at its relaxed geometry. Values from VASP.

Output
**Space group**: No. 223
**ρ**: 6.62 g/cm3

```
&SYSTEM
  ibrav = 0, nat = 14, ntyp = 3
/
ATOMIC_SPECIES
Dy 162.50 Dy.upf
Cd 112.41 Cd.upf
Ag 107.87 Ag.upf
CELL_PARAMETERS angstrom
7.4455 0.0000 0.0000
0.0000 7.4455 0.0000
0.0000 0.0000 7.4455
ATOMIC_POSITIONS crystal
Dy 0.0000 0.0000 0.0000
Dy 0.5000 0.5000 0.5000
Cd 0.0000 0.2500 0.5000
Cd 0.0000 0.7500 0.5000
Cd 0.2500 0.5000 0.0000
Cd 0.5000 0.0000 0.2500
Cd 0.5000 0.0000 0.7500
Cd 0.7500 0.5000 0.0000
Ag 0.0000 0.5000 0.2500
Ag 0.0000 0.5000 0.7500
Ag 0.2500 0.0000 0.5000
Ag 0.5000 0.2500 0.0000
Ag 0.5000 0.7500 0.0000
Ag 0.7500 0.0000 0.5000
```

(2)
A plane-wave DFT calculation with PBE was carried out for crystalline Dy3CdAg at its relaxed geometry. Values from VASP.

Output
**Space group**: No. 15
**ρ**: 8.66 g/cm3

```
&SYSTEM
  ibrav = 0, nat = 20, ntyp = 3
/
ATOMIC_SPECIES
Dy 162.50 Dy.upf
Cd 112.41 Cd.upf
Ag 107.87 Ag.upf
CELL_PARAMETERS angstrom
5.8498 -3.1326 0.0000
5.8498 3.1326 0.0000
-5.3859 0.0000 14.8116
ATOMIC_POSITIONS crystal
Dy 0.0275 0.6409 0.2120
Dy 0.0650 0.4391 0.6001
Dy 0.1051 0.8331 0.8993
Dy 0.1669 0.8949 0.6007
Dy 0.3591 0.9725 0.2880
Dy 0.4391 0.0650 0.1001
Dy 0.5609 0.9350 0.8999
Dy 0.6409 0.0275 0.7120
Dy 0.8331 0.1051 0.3993
Dy 0.8949 0.1669 0.1007
Dy 0.9350 0.5609 0.3999
Dy 0.9725 0.3591 0.7880
Cd 0.3684 0.6225 0.0886
Cd 0.3775 0.6316 0.4114
Cd 0.6225 0.3684 0.5886
Cd 0.6316 0.3775 0.9114
Ag 0.0000 0.5000 0.0000
Ag 0.3787 0.6213 0.7500
Ag 0.5000 0.0000 0.5000
Ag 0.6213 0.3787 0.2500
```

(3)
A plane-wave DFT calculation with PBE was carried out for crystalline Dy3Cd2Ag8 at its relaxed geometry. Values from VASP.

Output
**Space group**: No. 166
**ρ**: 9.06 g/cm3

```
&SYSTEM
  ibrav = 0, nat = 13, ntyp = 3
/
ATOMIC_SPECIES
Dy 162.50 Dy.upf
Cd 112.41 Cd.upf
Ag 107.87 Ag.upf
CELL_PARAMETERS angstrom
2.7595 1.5932 10.9395
-2.7595 1.5932 10.9395
0.0000 -3.1864 10.9395
ATOMIC_POSITIONS crystal
Dy 0.0000 0.0000 0.0000
Dy 0.1880 0.1880 0.1880
Dy 0.8120 0.8120 0.8120
Cd 0.3627 0.3627 0.3627
Cd 0.6373 0.6373 0.6373
Ag 0.2291 0.7327 0.7327
Ag 0.2673 0.2673 0.7709
Ag 0.2673 0.7709 0.2673
Ag 0.2795 0.2795 0.2795
Ag 0.7205 0.7205 0.7205
Ag 0.7327 0.2291 0.7327
Ag 0.7327 0.7327 0.2291
Ag 0.7709 0.2673 0.2673
```

(4)
A plane-wave DFT calculation with PBE was carried out for crystalline Dy6CdAg3 at its relaxed geometry. Values from VASP.

Output
**Space group**: No. 11
**ρ**: 8.86 g/cm3

```
&SYSTEM
  ibrav = 0, nat = 20, ntyp = 3
/
ATOMIC_SPECIES
Dy 162.50 Dy.upf
Cd 112.41 Cd.upf
Ag 107.87 Ag.upf
CELL_PARAMETERS angstrom
9.1410 0.0000 0.0000
0.0000 5.0584 0.0000
-3.0569 0.0000 11.4325
ATOMIC_POSITIONS crystal
Dy 0.0124 0.2500 0.1113
Dy 0.1479 0.2500 0.7120
Dy 0.2223 0.7500 0.5158
Dy 0.3524 0.7500 0.1082
Dy 0.3635 0.2500 0.3454
Dy 0.3823 0.7500 0.8376
Dy 0.6177 0.2500 0.1624
Dy 0.6365 0.7500 0.6546
Dy 0.6476 0.2500 0.8918
Dy 0.7777 0.2500 0.4842
Dy 0.8521 0.7500 0.2880
Dy 0.9876 0.7500 0.8887
Cd 0.4400 0.2500 0.6324
Cd 0.5600 0.7500 0.3676
Ag 0.0413 0.2500 0.3727
Ag 0.1585 0.7500 0.2606
Ag 0.2775 0.2500 0.9713
Ag 0.7225 0.7500 0.0287
Ag 0.8415 0.2500 0.7394
Ag 0.9587 0.7500 0.6273
```

no.,total energy (eV/atom),DOS(E_F) (states/eV/f.u.),formation enthalpy at 0 K (eV/atom)
1,-1.782,4.11,0.489
2,-3.588,4.76,-0.073
3,-3.038,7.43,-0.080
4,-3.902,8.27,-0.194